Here is a geometry-optimized MgNiSe2 structure from the Alexandria database. Energies are from PBE.

Cell lengths 6.4991, 6.4991, 3.5807 Å; angles 89.92, 89.92, 29.99 degrees
Last column: nearest neighbours and their distance in Å.
Atoms (fractional coordinates):
Ni 0.7695 0.7695 0.8774  5 Se 2.38-2.52
Mg 0.5454 0.5454 0.3727  6 Se 2.69-2.83
Se 0.2263 0.2263 0.3764  4 Ni 2.51-2.52
Se 0.9589 0.9589 0.8735  1 Ni 2.38

Output
magnetic moment = 0.47 μB/cell
N(E_F) = 3.11 states/eV/cell
SG = Cm (8)
formation energy (no corrections) = -0.482 eV/atom
crystal system = monoclinic



Here is a geometry-optimized MgNiSe2 structure from the Alexandria database. Energies are from PBE.

Cell lengths 3.7157, 3.7150, 5.2350 Å; angles 90.00, 90.00, 90.00 degrees
Last column: nearest neighbours and their distance in Å.
Atoms (fractional coordinates):
Se 0.5000 0.5000 0.3749  2 Ni 2.62, 4 Mg 2.63
Se 0.0000 0.0000 0.8751  2 Mg 2.62, 4 Ni 2.63
Ni 0.5000 0.5000 0.8747  6 Se 2.62-2.63
Mg 0.0000 0.0000 0.3753  6 Se 2.62-2.63

Output
magnetic moment = 0.00 μB/cell
N(E_F) = 2.05 states/eV/cell
SG = P4/mmm (123)
formation energy (no corrections) = -0.581 eV/atom
crystal system = tetragonal



Here is a geometry-optimized MgNi2Se structure from the Alexandria database. Energies are from PBE.

Cell lengths 3.9855, 3.9855, 8.4921 Å; angles 76.43, 76.43, 90.00 degrees
Last column: nearest neighbours and their distance in Å.
Atoms (fractional coordinates):
Se 0.0000 0.0000 0.0000  4 Ni 2.35
Ni 0.6913 0.1250 0.2500  2 Se 2.35, 2 Ni 2.47, 2 Mg 2.57
Mg 0.2500 0.7500 0.5000  4 Ni 2.57, 4 Se 2.82
Ni 0.3750 0.3087 0.7500  2 Se 2.35, 2 Ni 2.47, 2 Mg 2.57
Mg 0.5000 0.5000 0.0000  4 Ni 2.57, 4 Se 2.82
Ni 0.8750 0.9413 0.7500  2 Se 2.35, 2 Ni 2.47, 2 Mg 2.57
Se 0.7500 0.2500 0.5000  4 Ni 2.35
Ni 0.0587 0.6250 0.2500  2 Se 2.35, 2 Ni 2.47, 2 Mg 2.57

Output
magnetic moment = 0.00 μB/cell
N(E_F) = 2.90 states/eV/cell
ΔE to the lowest computed polymorph = 0.087 eV/atom
SG = I-42d (122)
formation energy (no corrections) = -0.061 eV/atom
crystal system = tetragonal



Here is a geometry-optimized MgNi2Se structure from the Alexandria database. Energies are from PBE.

Cell lengths 4.9829, 4.9829, 4.9829 Å; angles 141.07, 132.27, 63.22 degrees
Last column: nearest neighbours and their distance in Å.
Atoms (fractional coordinates):
Mg 0.7404 0.2404 0.5000  8 Ni 2.62-2.89, 4 Se 2.82
Ni 0.0184 0.0184 0.0000  4 Se 2.64, 4 Ni 2.70-2.92, 4 Mg 2.76-2.89
Se 0.4721 0.4721 0.0000  6 Ni 2.39-2.64
Ni 0.2690 0.7690 0.5000  2 Se 2.39, 4 Mg 2.62

Output
magnetic moment = 0.00 μB/cell
N(E_F) = 1.82 states/eV/cell
ΔE to the lowest computed polymorph = 0.018 eV/atom
SG = Imm2 (44)
formation energy (no corrections) = -0.130 eV/atom
crystal system = orthorhombic



Here is a geometry-optimized MgNi2Se structure from the Alexandria database. Energies are from PBE.

Cell lengths 3.8525, 3.2567, 4.9660 Å; angles 89.95, 90.00, 90.00 degrees
Last column: nearest neighbours and their distance in Å.
Atoms (fractional coordinates):
Se 0.5000 0.2500 0.2500  4 Ni 2.32
Ni 0.0000 0.2496 0.9910  2 Se 2.32, 2 Ni 2.39-2.57
Ni 0.0000 0.2504 0.5090  2 Se 2.32, 2 Ni 2.39-2.57
Mg 0.5000 0.7500 0.7500  8 Ni 2.79, 4 Se 2.97

Output
magnetic moment = 0.00 μB/cell
N(E_F) = 2.27 states/eV/cell
ΔE to the lowest computed polymorph = 0.002 eV/atom
SG = Pmmm (47)
formation energy (no corrections) = -0.146 eV/atom
crystal system = orthorhombic



Here is a geometry-optimized MgNiSe2 structure from the Alexandria database. Energies are from PBE.

Cell lengths 3.4289, 5.9660, 7.3383 Å; angles 45.77, 90.00, 90.00 degrees
Last column: nearest neighbours and their distance in Å.
Atoms (fractional coordinates):
Mg 0.5000 0.2500 0.2500  2 Ni 2.66, 4 Se 2.72
Se 0.0000 0.7574 0.5278  2 Ni 2.34
Ni 0.5000 0.7500 0.7500  4 Se 2.34
Se 0.0000 0.7426 0.9722  2 Ni 2.34

Output
magnetic moment = 0.00 μB/cell
N(E_F) = 0.18 states/eV/cell
SG = P2/m (10)
formation energy (no corrections) = -0.509 eV/atom
crystal system = monoclinic



Here is a geometry-optimized MgNi2Se structure from the Alexandria database. Energies are from PBE.

Cell lengths 3.2434, 3.2741, 5.5434 Å; angles 90.00, 90.00, 90.00 degrees
Last column: nearest neighbours and their distance in Å.
Atoms (fractional coordinates):
Mg 0.5000 0.5000 0.7802  6 Ni 2.66-2.87
Ni 0.5000 0.5000 0.2616  4 Se 2.50, 4 Ni 2.66, 1 Mg 2.67
Se 0.0000 0.0000 0.4372  5 Ni 2.31-2.50
Ni 0.0000 0.0000 0.0210  1 Se 2.31

Output
magnetic moment = 0.00 μB/cell
N(E_F) = 2.46 states/eV/cell
ΔE to the lowest computed polymorph = 0.007 eV/atom
SG = Pmm2 (25)
formation energy (no corrections) = -0.141 eV/atom
crystal system = orthorhombic



Here is a geometry-optimized MgNi2Se structure from the Alexandria database. Energies are from PBE.

Cell lengths 3.9145, 3.6020, 4.3763 Å; angles 77.16, 90.00, 90.00 degrees
Last column: nearest neighbours and their distance in Å.
Atoms (fractional coordinates):
Se 0.0000 0.3090 0.5150  4 Ni 2.31-2.45
Mg 0.5000 0.7832 0.6865  3 Ni 2.46-2.66, 2 Se 2.71
Ni 0.0000 0.9995 0.0698  2 Se 2.44-2.45, 2 Ni 2.63
Ni 0.5000 0.4084 0.2288  2 Se 2.31, 1 Mg 2.46

Output
magnetic moment = 0.00 μB/cell
N(E_F) = 3.43 states/eV/cell
ΔE to the lowest computed polymorph = 0.024 eV/atom
SG = Pm (6)
formation energy (no corrections) = -0.124 eV/atom
crystal system = monoclinic



Here is a geometry-optimized MgNi4Se structure from the Alexandria database. Energies are from PBE.

Cell lengths 4.8307, 4.8307, 4.8307 Å; angles 60.00, 60.00, 60.00 degrees
Last column: nearest neighbours and their distance in Å.
Atoms (fractional coordinates):
Se 0.2500 0.2500 0.2500  12 Ni 2.83, 4 Mg 2.96
Ni 0.1246 0.6251 0.6251  6 Ni 2.41-2.42
Ni 0.6251 0.1246 0.6251  6 Ni 2.41-2.42
Ni 0.6251 0.6251 0.6251  6 Ni 2.41-2.42
Mg 0.0000 0.0000 0.0000  12 Ni 2.83, 4 Se 2.96
Ni 0.6251 0.6251 0.1246  6 Ni 2.41-2.42

Output
magnetic moment = 0.00 μB/cell
N(E_F) = 5.82 states/eV/cell
SG = F-43m (216)
formation energy (no corrections) = 0.030 eV/atom
crystal system = cubic



Here is a geometry-optimized MgNi3Se structure from the Alexandria database. Energies are from PBE.

Cell lengths 4.3541, 4.3541, 4.3541 Å; angles 90.00, 90.00, 90.00 degrees
Last column: nearest neighbours and their distance in Å.
Atoms (fractional coordinates):
Se 0.0000 0.0000 0.0000  6 Ni 2.18
Ni 0.0000 0.0000 0.5000  2 Se 2.18
Ni 0.0000 0.5000 0.0000  2 Se 2.18
Ni 0.5000 0.0000 0.0000  2 Se 2.18
Mg 0.5000 0.5000 0.5000  12 Ni 3.08

Output
magnetic moment = 0.00 μB/cell
N(E_F) = 0.99 states/eV/cell
ΔE to the lowest computed polymorph = 0.000 eV/atom
SG = Pm-3m (221)
formation energy (no corrections) = 0.126 eV/atom
crystal system = cubic



Here is a geometry-optimized MgNiSe2 structure from the Alexandria database. Energies are from PBE.

Cell lengths 4.5931, 4.5931, 3.2588 Å; angles 90.00, 90.00, 90.00 degrees
Last column: nearest neighbours and their distance in Å.
Atoms (fractional coordinates):
Ni 0.0000 0.5000 0.5000  8 Se 2.82
Se 0.5000 0.5000 0.0000  4 Mg 2.82, 4 Ni 2.82
Mg 0.5000 0.0000 0.5000  8 Se 2.82
Se 0.0000 0.0000 0.0000  4 Ni 2.82, 4 Mg 2.82

Output
magnetic moment = 0.00 μB/cell
N(E_F) = 1.69 states/eV/cell
SG = P4/mmm (123)
formation energy (no corrections) = -0.195 eV/atom
crystal system = tetragonal



Here is a geometry-optimized MgNi2Se structure from the Alexandria database. Energies are from PBE.

Cell lengths 7.8818, 7.8818, 7.8818 Å; angles 21.99, 21.99, 21.99 degrees
Last column: nearest neighbours and their distance in Å.
Atoms (fractional coordinates):
Se 0.2500 0.2500 0.2500  6 Ni 2.46
Ni 0.5077 0.5077 0.5077  3 Se 2.46, 3 Mg 2.72
Mg 0.7500 0.7500 0.7500  6 Ni 2.72, 6 Mg 3.01
Ni 0.9923 0.9923 0.9923  3 Se 2.46, 3 Mg 2.72

Output
magnetic moment = 0.00 μB/cell
N(E_F) = 3.59 states/eV/cell
ΔE to the lowest computed polymorph = 0.198 eV/atom
SG = R-3m (166)
formation energy (no corrections) = 0.050 eV/atom
crystal system = trigonal



Here is a geometry-optimized MgNi2Se structure from the Alexandria database. Energies are from PBE.

Cell lengths 4.3315, 4.3315, 4.3315 Å; angles 60.00, 60.00, 60.00 degrees
Last column: nearest neighbours and their distance in Å.
Atoms (fractional coordinates):
Mg 0.5000 0.5000 0.5000  4 Se 2.65, 4 Ni 2.65
Ni 0.2500 0.2500 0.2500  4 Mg 2.65, 4 Ni 2.65
Ni 0.0000 0.0000 0.0000  4 Se 2.65, 4 Ni 2.65
Se 0.7500 0.7500 0.7500  4 Ni 2.65, 4 Mg 2.65

Output
magnetic moment = 0.00 μB/cell
N(E_F) = 3.95 states/eV/cell
ΔE to the lowest computed polymorph = 0.203 eV/atom
SG = F-43m (216)
formation energy (no corrections) = 0.055 eV/atom
crystal system = cubic



Here is a geometry-optimized MgNiSe2 structure from the Alexandria database. Energies are from PBE.

Cell lengths 4.7176, 4.7176, 4.0456 Å; angles 70.76, 70.76, 98.76 degrees
Last column: nearest neighbours and their distance in Å.
Atoms (fractional coordinates):
Se 0.0000 0.0000 0.0000  2 Mg 2.55, 2 Ni 2.55
Ni 0.0000 0.5000 0.5000  4 Se 2.55
Se 0.5000 0.5000 0.0000  2 Ni 2.55, 2 Mg 2.55
Mg 0.5000 0.0000 0.5000  4 Se 2.55

Output
magnetic moment = 0.00 μB/cell
N(E_F) = 2.99 states/eV/cell
SG = C2/m (12)
formation energy (no corrections) = -0.251 eV/atom
crystal system = monoclinic



Here is a geometry-optimized MgNiSe2 structure from the Alexandria database. Energies are from PBE.

Cell lengths 6.5986, 6.5985, 6.5986 Å; angles 148.98, 141.84, 49.97 degrees
Last column: nearest neighbours and their distance in Å.
Atoms (fractional coordinates):
Mg 0.7500 0.2500 0.5000  4 Se 2.68, 4 Ni 2.79
Se 0.1170 0.1170 0.0000  2 Ni 2.38
Se 0.3830 0.3830 0.0000  2 Ni 2.38
Ni 0.2500 0.7500 0.5000  4 Se 2.38

Output
magnetic moment = 0.00 μB/cell
N(E_F) = 0.96 states/eV/cell
SG = Immm (71)
formation energy (no corrections) = -0.563 eV/atom
crystal system = orthorhombic